[1]
{"formula": "TcNi2P", "functional": "GGA-PBEsol", "state": "relaxed", "vol_a3_per_cell": 46, "total_energy_ev_per_atom": -7.52, "formation_enthalpy_0k_ev_per_atom": -0.181, "lattice": [[2.6715, 0.0000, 0.0163], [0.0000, 3.8049, 0.0000], [-1.1913, 0.0000, 4.5457]], "species": ["Ni", "Ni", "P", "Tc"], "frac_coords": [[0.6177, 0.0000, 0.7633], [0.3823, 0.0000, 0.2367], [0.5000, 0.5000, 0.0000], [0.0000, 0.5000, 0.5000]]}

***

[2]
{"formula": "NbAg2BPt", "functional": "GGA-PBEsol", "state": "relaxed", "vol_a3_per_cell": 115, "total_energy_ev_per_atom": -4.45, "formation_enthalpy_0k_ev_per_atom": 1.840, "lattice": [[-1.9661, 3.7275, 2.1612], [-4.2949, -0.9821, -2.2133], [-1.2938, -2.8786, 3.7879]], "species": ["Nb", "B", "Ag", "Ag", "Pt"], "frac_coords": [[0.5000, 0.0000, 0.0000], [0.5000, 0.5000, 0.5000], [0.0000, 0.0000, 0.5000], [0.0000, 0.5000, 0.0000], [0.0000, 0.0000, 0.0000]]}